Compound: PrScSeS
Source: the Alexandria database
Functional: PBE-GGA
Structure: optimized geometry

Lattice parameters (Å, degrees): 3.8567 3.8586 7.3614 90.00 105.17 120.02
Sites, in units of the cell vectors:
1 Pr 0.1199 0.9579 0.0926
2 S 0.2861 0.5410 0.8424
3 Sc 0.4877 0.1418 0.6452
4 Se 0.9843 0.3901 0.3894

Raw formation energy in eV per atom: -1.77
Final energy in eV per atom: -6.456


Compound: Zn3ClO
Source: the Alexandria database
Functional: PBE-GGA
Structure: optimized geometry

Lattice parameters (Å, degrees): 4.4424 4.4424 4.4424 90.00 90.00 90.00
Sites, in units of the cell vectors:
1 O 0.0000 0.0000 0.0000
2 Zn 0.5000 0.0000 0.0000
3 Cl 0.5000 0.5000 0.5000
4 Zn 0.0000 0.0000 0.5000
5 Zn 0.0000 0.5000 0.0000

Raw formation energy in eV per atom: -0.12
Final energy in eV per atom: -2.250


Compound: HRuPtW2
Source: the Alexandria database
Functional: PBE-GGA
Structure: optimized geometry

Lattice parameters (Å, degrees): 3.9785 3.9785 3.9833 90.00 90.00 90.00
Sites, in units of the cell vectors:
1 W 0.0000 0.5000 0.0000
2 H 0.0000 0.0000 0.0000
3 W 0.5000 0.0000 0.0000
4 Pt 0.5000 0.5000 0.5000
5 Ru 0.0000 0.0000 0.5000

Final energy in eV per atom: -8.962


Compound: Tl4TeCl2
Source: the Alexandria database
Functional: PBE-GGA
Structure: optimized geometry

Lattice parameters (Å, degrees): 8.7532 8.7520 8.9681 108.92 108.75 109.74
Sites, in units of the cell vectors:
1 Tl 0.7390 0.0585 0.6737
2 Cl 0.6238 0.3750 0.7488
3 Cl 0.6262 0.8749 0.2511
4 Tl 0.9424 0.2615 0.3272
5 Cl 0.1249 0.3762 0.7511
6 Tl 0.3847 0.0650 0.3269
7 Tl 0.3085 0.4885 0.1737
8 Te 0.0000 0.9999 0.0000
9 Tl 0.9343 0.6154 0.6723
10 Tl 0.5109 0.6925 0.8271
11 Te 0.2500 0.7501 0.5000
12 Tl 0.8654 0.6840 0.1722
13 Cl 0.6250 0.3738 0.2489
14 Tl 0.3148 0.1346 0.8268

Raw formation energy in eV per atom: -0.64
Final energy in eV per atom: -2.966


Compound: NiNCl
Source: the Alexandria database
Functional: PBE-GGA
Structure: optimized geometry

Lattice parameters (Å, degrees): 3.2664 5.9042 9.1162 134.22 90.00 90.00
Sites, in units of the cell vectors:
1 Cl 0.5000 0.1205 0.2157
2 N 0.5000 0.2489 0.8350
3 N 0.0000 0.0545 0.5209
4 Cl 0.0000 0.7018 0.7048
5 Ni 0.0000 0.1371 0.7409
6 Ni 0.0000 0.1947 0.4167

Raw formation energy in eV per atom: 0.52
Final energy in eV per atom: -4.802


Compound: La2CrMo
Source: the Alexandria database
Functional: PBE-GGA
Structure: optimized geometry

Lattice parameters (Å, degrees): 5.8040 5.8040 5.8040 135.52 135.52 64.73
Site moments in Bohr magnetons follow the coordinates.
Sites, in units of the cell vectors:
1 La 0.0000 0.0000 0.0000  -0.03
2 La 0.2500 0.7500 0.5000  -0.01
3 Mo 0.5000 0.5000 0.0000  0.23
4 Cr 0.7500 0.2500 0.5000  -3.47

Final energy in eV per atom: -6.887
ΔE_f in eV/atom: 0.690


Compound: CaSn3Se
Source: the Alexandria database
Functional: PBE-GGA
Structure: optimized geometry

Lattice parameters (Å, degrees): 5.5489 5.5489 5.5489 90.00 90.00 90.00
Sites, in units of the cell vectors:
1 Sn 0.0000 0.5000 0.0000
2 Se 0.0000 0.0000 0.0000
3 Sn 0.0000 0.0000 0.5000
4 Ca 0.5000 0.5000 0.5000
5 Sn 0.5000 0.0000 0.0000

Raw formation energy in eV per atom: 0.06
Final energy in eV per atom: -3.444


Compound: SrZn2In
Source: the Alexandria database
Functional: PBE-GGA
Structure: optimized geometry

Lattice parameters (Å, degrees): 5.4094 5.4094 5.4094 131.15 118.66 82.09
Sites, in units of the cell vectors:
1 Sr 0.2382 0.7382 0.5000
2 In 0.5333 0.5333 0.0000
3 Zn 0.9499 0.9499 0.0000
4 Zn 0.7786 0.2786 0.5000

Final energy in eV per atom: -1.844
ΔE_f in eV/atom: -0.102